A geometry-optimized SrZn4Ir structure, computed with PBE.

a = 5.072 Å, b = 5.073 Å, c = 7.847 Å
α = 70.47°, β = 108.62°, γ = 60.89°
Fractional positions:
Sr1 0.500 0.000 0.000
Zn1 0.708 0.788 0.706
Zn2 0.000 0.000 0.500
Zn3 0.500 0.500 0.500
Zn4 0.292 0.212 0.294
Ir1 0.000 0.500 0.500

Results
DOS at the Fermi energy: 0.330 states/eV per atom
polymorph energy (0 for the lowest one): 43.7 meV per atom
E_tot: -2.763 eV/atom
formation enthalpy at 0 K: -0.157 eV/atom
SG: P-1